Na3NdHo2O6 | PBE | optimized geometry

Unit cell a=6.0095 b=10.4156 c=5.9437 alpha=90.00 beta=109.62 gamma=90.00
With the nearest neighbours (Å) after each atom.
Space group C2/m (No. 12)
Asymmetric unit:
Na: 0.0000 0.0000 0.0000 [2 per cell]  6 O 2.51-2.60
Na: 0.0000 0.3282 0.0000 [4 per cell]  6 O 2.48-2.64
Nd: 0.0000 0.5000 0.5000 [2 per cell]  6 O 2.39-2.40
Ho: 0.0000 0.1665 0.5000 [4 per cell]  6 O 2.30
O: 0.2251 0.0000 0.7130 [4 per cell]  2 Ho 2.30, 1 Nd 2.40, 1 Na 2.51
O: 0.2430 0.3273 0.7116 [8 per cell]  2 Ho 2.30, 1 Nd 2.39, 1 Na 2.48

## Properties
- Calculated total energy: -6.7130 eV/atom
- Fermi-level density of states: 0.000 states/eV per cell
- Crystal system: monoclinic
- Size of the total moment: 0.0 μB per formula unit